Record 1
The following is a PBE-GGA calculation of an optimized crystal structure of Li3CrIr, from Alexandria via LeMat-Bulk.

Calculated values
The calculated formation energy is 1.23 eV per atom. As for the density: 4.86 g/cm³.

Lattice parameters (Å, degrees): 4.4893 4.4893 4.4893 90.00 90.00 90.00
Closest atoms and distances in Å follow each position.
Space group Pm-3m (No. 221)
Symmetry-distinct sites (fractional):
Li: 0.0000 0.0000 0.5000 [3 per cell]  2 Ir 2.24
Cr: 0.5000 0.5000 0.5000 [1 per cell]  12 Li 3.17
Ir: 0.0000 0.0000 0.0000 [1 per cell]  6 Li 2.24

---

Record 2
The following is a PBE-GGA calculation of an optimized crystal structure of CuMo2Os, from Alexandria via LeMat-Bulk.

Calculated values
The calculated formation energy is 0.21 eV per atom. As for the density: 12.71 g/cm³.

Lattice parameters (Å, degrees): 3.8442 3.8442 7.8794 90.00 90.00 90.00
Closest atoms and distances in Å follow each position.
Space group I4/mmm (No. 139)
Symmetry-distinct sites (fractional):
Cu: 0.0000 0.0000 0.0000 [2 per cell]  4 Os 2.72, 8 Mo 2.75
Mo: 0.0000 0.5000 0.2500 [4 per cell]  4 Mo 2.72, 4 Os 2.75, 4 Cu 2.75
Os: 0.0000 0.0000 0.5000 [2 per cell]  4 Cu 2.72, 8 Mo 2.75

---

Record 3
The following is a PBE-GGA calculation of an optimized crystal structure of DyThGa2, from Alexandria via LeMat-Bulk.

Calculated values
The calculated formation energy is -0.50 eV per atom. As for the density: 9.29 g/cm³.

Lattice parameters (Å, degrees): 3.4467 3.4467 8.0345 90.00 90.00 90.00
Closest atoms and distances in Å follow each position.
Space group P4/mmm (No. 123)
Symmetry-distinct sites (fractional):
Dy: 0.0000 0.0000 0.0000 [1 per cell]  8 Ga 3.10, 4 Dy 3.45
Th: 0.0000 0.0000 0.5000 [1 per cell]  8 Ga 3.21, 4 Th 3.45
Ga: 0.5000 0.5000 0.2391 [2 per cell]  4 Dy 3.10, 4 Th 3.21, 4 Ga 3.45

---

Record 4
The following is a PBE-GGA calculation of an optimized crystal structure of Mn2FeHIr, from Alexandria via LeMat-Bulk.

Calculated values
The total energy comes out at -39.2 eV/cell. As for the density: 12.37 g/cm³.

Lattice parameters (Å, degrees): 3.6457 3.6457 3.6259 90.00 90.00 90.00
Closest atoms and distances in Å follow each position.
Space group P4/mmm (No. 123)
Symmetry-distinct sites (fractional):
Mn: 0.0000 0.5000 0.0000 [2 per cell]  2 H 1.82
Fe: 0.0000 0.0000 0.5000 [1 per cell]  2 H 1.81
H: 0.0000 0.0000 0.0000 [1 per cell]  2 Fe 1.81, 4 Mn 1.82
Ir: 0.5000 0.5000 0.5000 [1 per cell]  8 Mn 2.57, 4 Fe 2.58

---

Record 5
The following is a PBE-GGA calculation of an optimized crystal structure of BaTcHg2, from Alexandria via LeMat-Bulk.

Calculated values
The calculated formation energy is 0.40 eV per atom. As for the density: 9.36 g/cm³.

Lattice parameters (Å, degrees): 3.6246 4.2938 7.2547 90.00 90.00 90.00
Closest atoms and distances in Å follow each position.
Space group Pmm2 (No. 25)
Symmetry-distinct sites (fractional):
Ba: 0.0000 0.0000 0.0000 [1 per cell]  6 Hg 3.44-3.52, 2 Tc 3.57, 2 Ba 3.62
Tc: 0.0000 0.5000 0.3937 [1 per cell]  6 Hg 2.81-2.92
Hg: 0.5000 0.0000 0.4032 [1 per cell]  4 Tc 2.81, 2 Hg 3.09
Hg: 0.5000 0.5000 0.7087 [1 per cell]  2 Tc 2.92, 2 Hg 3.09

---

Record 6
The following is a PBE-GGA calculation of an optimized crystal structure of La5Hg4Ge, from Alexandria via LeMat-Bulk.

Calculated values
The calculated formation energy is -0.55 eV per atom. As for the density: 8.91 g/cm³.

Lattice parameters (Å, degrees): 3.9313 3.9313 18.9177 90.00 90.00 90.00
Closest atoms and distances in Å follow each position.
Space group P4/mmm (No. 123)
Symmetry-distinct sites (fractional):
La: 0.0000 0.0000 0.0000 [1 per cell]  8 Hg 3.40
La: 0.0000 0.0000 0.2065 [2 per cell]  8 Hg 3.37-3.39
La: 0.0000 0.0000 0.4167 [2 per cell]  1 La 3.15, 4 Ge 3.20, 4 Hg 3.47
Hg: 0.5000 0.5000 0.1036 [2 per cell]  8 La 3.39-3.40
Hg: 0.5000 0.5000 0.3071 [2 per cell]  8 La 3.37-3.47, 1 Ge 3.65
Ge: 0.5000 0.5000 0.5000 [1 per cell]  8 La 3.20

---

Record 7
The following is a PBE-GGA calculation of an optimized crystal structure of AcPr2Ge2Pd7, from Alexandria via LeMat-Bulk.

Calculated values
The calculated formation energy is -0.74 eV per atom. As for the density: 9.31 g/cm³.

Lattice parameters (Å, degrees): 6.0407 5.9397 14.0740 90.00 98.70 90.00
Closest atoms and distances in Å follow each position.
Space group C2/m (No. 12)
Symmetry-distinct sites (fractional):
Ac: 0.0000 0.0000 0.0000 [2 per cell]  12 Pd 2.97-3.10
Pr: 0.1147 0.0000 0.3538 [4 per cell]  9 Pd 3.11-3.43, 4 Ge 3.25-3.36
Ge: 0.0904 0.5000 0.2568 [4 per cell]  5 Pd 2.48-2.49
Pd: 0.0000 0.5000 0.0000 [2 per cell]  4 Ac 2.97-3.02, 8 Pd 3.09
Pd: 0.1420 0.5000 0.4350 [4 per cell]  1 Ge 2.48, 1 Pd 2.69
Pd: 0.1934 0.2506 0.8378 [8 per cell]  2 Ge 2.49

---

Record 8
The following is a PBE-GGA calculation of an optimized crystal structure of FeHg2Rh, from Alexandria via LeMat-Bulk.

Calculated values
The calculated formation energy is 0.32 eV per atom. As for the density: 13.53 g/cm³.

Lattice parameters (Å, degrees): 4.1478 4.1478 7.9888 90.00 90.00 90.00
Closest atoms and distances in Å follow each position.
Space group I4/mmm (No. 139)
Symmetry-distinct sites (fractional):
Fe: 0.0000 0.0000 0.0000 [2 per cell]  8 Hg 2.88, 4 Rh 2.93
Hg: 0.0000 0.5000 0.2500 [4 per cell]  4 Fe 2.88, 4 Rh 2.88, 4 Hg 2.93
Rh: 0.0000 0.0000 0.5000 [2 per cell]  8 Hg 2.88, 4 Fe 2.93

---

Record 9
The following is a PBE-GGA calculation of an optimized crystal structure of Na2Ga3PdPt4, from Alexandria via LeMat-Bulk.

Calculated values
The calculated formation energy is -0.49 eV per atom. As for the density: 10.22 g/cm³.

Lattice parameters (Å, degrees): 4.0469 4.0469 11.3303 90.00 90.00 90.00
Closest atoms and distances in Å follow each position.
Space group P-4m2 (No. 115)
Symmetry-distinct sites (fractional):
Na: 0.0000 0.5000 0.2452 [2 per cell]  4 Pt 3.06, 4 Ga 3.16
Ga: 0.0000 0.0000 0.0000 [1 per cell]  4 Pt 2.64, 4 Pd 2.86
Ga: 0.0000 0.5000 0.6358 [2 per cell]  5 Pt 2.43-2.54
Pd: 0.5000 0.5000 0.0000 [1 per cell]  4 Pt 2.64, 4 Ga 2.86
Pt: 0.0000 0.0000 0.5000 [1 per cell]  4 Ga 2.54
Pt: 0.0000 0.5000 0.8499 [2 per cell]  3 Ga 2.43-2.64, 2 Pd 2.64
Pt: 0.5000 0.5000 0.5000 [1 per cell]  4 Ga 2.54

---

Record 10
The following is a PBE-GGA calculation of an optimized crystal structure of SmSc2Zn, from Alexandria via LeMat-Bulk.

Calculated values
The calculated formation energy is -0.03 eV per atom. As for the density: 5.13 g/cm³.

Lattice parameters (Å, degrees): 3.4051 3.4051 29.5757 90.00 90.00 120.00
Closest atoms and distances in Å follow each position.
Space group R3m (No. 160, hexagonal axes)
Symmetry-distinct sites (fractional):
Sm: 0.0000 0.0000 0.0000 [3 per cell]  6 Sm 3.41, 6 Sc 3.44-3.48
Sc: 0.0000 0.0000 0.5695 [3 per cell]  3 Zn 2.87
Sc: 0.0000 0.0000 0.7622 [3 per cell]  3 Zn 2.85
Zn: 0.0000 0.0000 0.1655 [3 per cell]  6 Sc 2.85-2.87

---

Record 11
The following is a PBE-GGA calculation of an optimized crystal structure of EuAgPdPb, from Alexandria via LeMat-Bulk.

Calculated values
The calculated formation energy is -0.36 eV per atom. As for the density: 10.32 g/cm³.

Lattice parameters (Å, degrees): 7.1724 7.1724 7.1724 90.00 90.00 90.00
Closest atoms and distances in Å follow each position.
Space group F-43m (No. 216)
Symmetry-distinct sites (fractional):
Eu: 0.0000 0.0000 0.0000 [4 per cell]  4 Pd 3.11, 4 Ag 3.11
Ag: 0.2500 0.2500 0.2500 [4 per cell]  4 Eu 3.11, 4 Pb 3.11
Pd: 0.2500 0.2500 0.7500 [4 per cell]  4 Pb 3.11, 4 Eu 3.11
Pb: 0.0000 0.0000 0.5000 [4 per cell]  4 Ag 3.11, 4 Pd 3.11

---

Record 12
The following is a PBE-GGA calculation of an optimized crystal structure of Cs2VGeW, from Alexandria via LeMat-Bulk.

Calculated values
The calculated formation energy is 1.80 eV per atom. As for the density: 4.69 g/cm³.

Lattice parameters (Å, degrees): 6.8059 6.8059 4.3847 90.00 90.00 90.00
Closest atoms and distances in Å follow each position.
Space group P4/mmm (No. 123)
Symmetry-distinct sites (fractional):
Cs: 0.0000 0.5000 0.0000 [2 per cell]  2 V 3.40
V: 0.0000 0.0000 0.0000 [1 per cell]  2 W 2.19
Ge: 0.5000 0.5000 0.5000 [1 per cell]  8 Cs 4.05, 2 Ge 4.38
W: 0.0000 0.0000 0.5000 [1 per cell]  2 V 2.19

---

Record 13
The following is a PBE-GGA calculation of an optimized crystal structure of CsTe2RuN, from Alexandria via LeMat-Bulk.

Calculated values
The calculation puts the raw formation energy at 0.7 eV/f.u. As for the density: 6.26 g/cm³.

Lattice parameters (Å, degrees): 6.0140 6.0140 3.6932 90.00 90.00 90.00
Closest atoms and distances in Å follow each position.
Space group P4/mmm (No. 123)
Symmetry-distinct sites (fractional):
Cs: 0.0000 0.0000 0.0000 [1 per cell]  8 Te 3.53, 2 Cs 3.69
Te: 0.0000 0.5000 0.5000 [2 per cell]  2 Ru 3.01
Ru: 0.5000 0.5000 0.5000 [1 per cell]  2 N 1.85
N: 0.5000 0.5000 0.0000 [1 per cell]  2 Ru 1.85

---

Record 14
The following is a PBE-GGA calculation of an optimized crystal structure of ZnCd2IrO6, from Alexandria via LeMat-Bulk.

Calculated values
The calculation puts the raw formation energy at -8.8 eV/f.u. As for the density: 7.98 g/cm³.

Lattice parameters (Å, degrees): 5.5476 5.5476 13.5464 90.00 90.00 120.00
Closest atoms and distances in Å follow each position.
Space group R3 (No. 146, hexagonal axes)
Symmetry-distinct sites (fractional):
Zn: 0.0000 0.0000 0.0000 [3 per cell]  6 O 2.12-2.13
Cd: 0.0000 0.0000 0.2554 [3 per cell]  3 O 2.21
Cd: 0.0000 0.0000 0.7419 [3 per cell]  3 O 2.22
Ir: 0.0000 0.0000 0.5008 [3 per cell]  6 O 1.95-1.96
O: 0.0216 0.6127 0.2508 [9 per cell]  1 Ir 1.96, 1 Zn 2.12
O: 0.0751 0.3530 0.0856 [9 per cell]  1 Ir 1.95, 1 Zn 2.13

---

Record 15
The following is a PBE-GGA calculation of an optimized crystal structure of KGaGe, from Alexandria via LeMat-Bulk.

Calculated values
The calculated formation energy is 0.04 eV per atom. As for the density: 4.07 g/cm³.

Lattice parameters (Å, degrees): 5.7567 6.1895 8.3083 90.00 90.00 90.00
Closest atoms and distances in Å follow each position.
Space group Imm2 (No. 44)
Symmetry-distinct sites (fractional):
K: 0.0000 0.0000 0.0000 [2 per cell]  6 Ge 3.37-3.48, 2 K 3.47, 6 Ga 3.51-3.68
K: 0.0000 0.5000 0.2659 [2 per cell]  6 Ga 3.30-3.60, 6 Ge 3.37-3.55, 2 K 3.47
Ga: 0.2414 0.0000 0.4107 [4 per cell]  2 Ga 2.78-2.98, 4 Ge 2.96-3.00
Ge: 0.0000 0.2893 0.6402 [4 per cell]  1 Ge 2.61

---

Record 16
The following is a PBE-GGA calculation of an optimized crystal structure of PrDy6Y3Sc2, from Alexandria via LeMat-Bulk.

Calculated values
The calculated formation energy is 0.04 eV per atom. As for the density: 6.63 g/cm³.

Lattice parameters (Å, degrees): 6.0925 10.5425 11.6658 90.00 99.96 90.00
Closest atoms and distances in Å follow each position.
Space group C2/m (No. 12)
Symmetry-distinct sites (fractional):
Pr: 0.0000 0.0000 0.0000 [2 per cell]  6 Dy 3.49, 6 Sc 3.51-3.52
Dy: 0.2463 0.5000 0.2460 [4 per cell]  2 Sc 3.48, 1 Pr 3.49, 6 Dy 3.50-3.55, 3 Y 3.55-3.56
Dy: 0.2490 0.3319 0.7540 [8 per cell]  2 Sc 3.47-3.48, 1 Pr 3.49, 6 Dy 3.50-3.55, 3 Y 3.54-3.56
Y: 0.0000 0.1673 0.5000 [4 per cell]  6 Y 3.51-3.53, 6 Dy 3.54-3.56
Y: 0.0000 0.5000 0.5000 [2 per cell]  6 Y 3.51-3.52, 6 Dy 3.55-3.56
Sc: 0.0000 0.3334 0.0000 [4 per cell]  6 Dy 3.47-3.48, 3 Sc 3.51-3.52, 3 Pr 3.51-3.52

---

Record 17
The following is a PBE-GGA calculation of an optimized crystal structure of MgAg2Cl, from Alexandria via LeMat-Bulk.

Calculated values
The calculation puts the raw formation energy at -0.7 eV/f.u. As for the density: 5.63 g/cm³.

Lattice parameters (Å, degrees): 3.6049 3.7014 6.0915 90.00 90.00 90.00
Closest atoms and distances in Å follow each position.
Space group Pmmm (No. 47)
Symmetry-distinct sites (fractional):
Mg: 0.0000 0.0000 0.0000 [1 per cell]  8 Ag 2.92, 2 Cl 3.05
Ag: 0.5000 0.5000 0.2246 [2 per cell]  1 Ag 2.74, 4 Mg 2.92
Cl: 0.0000 0.0000 0.5000 [1 per cell]  2 Mg 3.05, 8 Ag 3.08

---

Record 18
The following is a PBE-GGA calculation of an optimized crystal structure of Tb2SiNi, from Alexandria via LeMat-Bulk.

Calculated values
The calculation puts the raw formation energy at -2.5 eV/f.u. As for the density: 7.80 g/cm³.

Lattice parameters (Å, degrees): 4.0553 4.0023 10.6184 90.00 90.00 90.00
Closest atoms and distances in Å follow each position.
Space group Amm2 (No. 38)
Symmetry-distinct sites (fractional):
Tb: 0.0000 0.0000 0.0000 [2 per cell]  4 Si 2.95, 3 Ni 2.97-3.11
Tb: 0.5000 0.0000 0.2802 [2 per cell]  4 Ni 2.95, 3 Si 2.98-3.10
Si: 0.5000 0.0000 0.5726 [2 per cell]  2 Ni 2.48
Ni: 0.0000 0.0000 0.7069 [2 per cell]  2 Si 2.48

---

Record 19
The following is a PBE-GGA calculation of an optimized crystal structure of Rb4IBr2, from Alexandria via LeMat-Bulk.

Calculated values
The calculation puts the raw formation energy at -8.6 eV/f.u. As for the density: 2.48 g/cm³.

Lattice parameters (Å, degrees): 6.8314 6.8314 18.0408 90.00 90.00 90.00
Closest atoms and distances in Å follow each position.
Space group I4/mmm (No. 139)
Symmetry-distinct sites (fractional):
Rb: 0.0000 0.0000 0.2112 [4 per cell]  1 Br 3.25
Rb: 0.0000 0.5000 0.0000 [4 per cell]  2 I 3.42
I: 0.0000 0.0000 0.0000 [2 per cell]  6 Rb 3.42-3.81
Br: 0.0000 0.0000 0.3915 [4 per cell]  1 Rb 3.25

---

Record 20
The following is a PBE-GGA calculation of an optimized crystal structure of DyPu2ThAs4, from Alexandria via LeMat-Bulk.

Calculated values
The calculated formation energy is -1.24 eV per atom. As for the density: 9.57 g/cm³.

Lattice parameters (Å, degrees): 7.2098 4.1836 7.2261 90.00 109.69 90.00
Closest atoms and distances in Å follow each position.
Space group P2/m (No. 10)
Symmetry-distinct sites (fractional):
Dy: 0.0000 0.0000 0.0000 [1 per cell]  6 As 2.94-2.95
Pu: 0.5000 0.0000 0.5000 [1 per cell]  6 As 2.95-2.96
Pu: 0.5000 0.5000 0.0000 [1 per cell]  6 As 2.92-2.93
Th: 0.0000 0.5000 0.5000 [1 per cell]  6 As 2.97-2.98
As: 0.2523 0.5000 0.2482 [2 per cell]  3 Pu 2.93-2.95, 2 Dy 2.95, 1 Th 2.97
As: 0.2546 0.0000 0.7567 [2 per cell]  3 Pu 2.92-2.96, 1 Dy 2.94, 2 Th 2.98